Here is a relaxed ZrCo6P6 crystal from the Alexandria database. Energies are from PBE.

Final energy   -6.864 eV/atom
Symmetry   P6/mmm, No. 191
Formation enthalpy at 0 K   -5.58 eV/f.u.

Unit cell a=4.994 b=4.994 c=7.206 alpha=90.00 beta=90.00 gamma=120.00
Fractional coordinates of all 13 atoms:
Zr1 0.000 0.000 0.000
Co1 0.000 0.500 0.258
Co2 0.000 0.500 0.742
Co3 0.500 0.000 0.258
Co4 0.500 0.000 0.742
Co5 0.500 0.500 0.258
Co6 0.500 0.500 0.742
P1 0.000 0.000 0.342
P2 0.000 0.000 0.658
P3 0.333 0.667 0.000
P4 0.333 0.667 0.500
P5 0.667 0.333 0.000
P6 0.667 0.333 0.500

Here is a relaxed Zr3CoP crystal from the Alexandria database. Energies are from PBE.

Final energy   -7.529 eV/atom
Distance to the lowest polymorph of the same formula   0 meV per atom
Symmetry   Pm-3m, No. 221
Formation enthalpy at 0 K   0.51 eV/f.u.

Unit cell a=4.762 b=4.762 c=4.762 alpha=90.00 beta=90.00 gamma=90.00
Fractional coordinates of all 5 atoms:
Zr1 0.000 0.000 0.500
Zr2 0.000 0.500 0.000
Zr3 0.500 0.000 0.000
Co1 0.000 0.000 0.000
P1 0.500 0.500 0.500

Here is a relaxed ZrCo2P crystal from the Alexandria database. Energies are from PBE.

Final energy   -7.414 eV/atom
Symmetry   P4/mmm, No. 123
Formation enthalpy at 0 K   -1.49 eV/f.u.

Unit cell a=3.847 b=3.847 c=3.615 alpha=90.00 beta=90.00 gamma=90.00
Fractional coordinates of all 4 atoms:
Zr1 0.000 0.000 0.000
Co1 0.000 0.500 0.500
Co2 0.500 0.000 0.500
P1 0.500 0.500 0.000

Here is a relaxed ZrCo2P crystal from the Alexandria database. Energies are from PBE.

Final energy   -7.568 eV/atom
Symmetry   P4mm, No. 99
Formation enthalpy at 0 K   -2.10 eV/f.u.

Unit cell a=3.645 b=3.645 c=4.320 alpha=90.00 beta=90.00 gamma=90.00
Fractional coordinates of all 4 atoms:
Zr1 0.000 0.000 0.000
Co1 0.000 0.500 0.456
Co2 0.500 0.000 0.456
P1 0.500 0.500 0.727

Here is a relaxed ZrCo4P crystal from the Alexandria database. Energies are from PBE.

Final energy   -7.151 eV/atom
Symmetry   F-43m, No. 216
Formation enthalpy at 0 K   -0.52 eV/f.u.

Unit cell a=4.790 b=4.790 c=4.790 alpha=60.00 beta=60.00 gamma=60.00
Fractional coordinates of all 6 atoms:
Zr1 0.000 0.000 0.000
Co1 0.126 0.625 0.625
Co2 0.625 0.126 0.625
Co3 0.625 0.625 0.126
Co4 0.625 0.625 0.625
P1 0.250 0.250 0.250

Here is a relaxed ZrCoP4 crystal from the Alexandria database. Energies are from PBE.

Final energy   -5.924 eV/atom
Symmetry   F-43m, No. 216
Formation enthalpy at 0 K   1.75 eV/f.u.

Unit cell a=4.991 b=4.991 c=4.991 alpha=60.00 beta=60.00 gamma=60.00
Fractional coordinates of all 6 atoms:
Zr1 0.000 0.000 0.000
Co1 0.750 0.750 0.750
P1 0.377 0.377 0.377
P2 0.377 0.377 0.870
P3 0.377 0.870 0.377
P4 0.870 0.377 0.377

Here is a relaxed Zr2CoP2 crystal from the Alexandria database. Energies are from PBE.

Final energy   -7.902 eV/atom
Symmetry   P4/mbm, No. 127
Formation enthalpy at 0 K   -4.49 eV/f.u.

Unit cell a=6.278 b=6.278 c=3.887 alpha=90.00 beta=90.00 gamma=90.00
Fractional coordinates of all 10 atoms:
Zr1 0.172 0.328 0.000
Zr2 0.328 0.828 0.000
Zr3 0.672 0.172 0.000
Zr4 0.828 0.672 0.000
Co1 0.000 0.000 0.500
Co2 0.500 0.500 0.500
P1 0.137 0.637 0.500
P2 0.363 0.137 0.500
P3 0.637 0.863 0.500
P4 0.863 0.363 0.500

Here is a relaxed ZrCo5P3 crystal from the Alexandria database. Energies are from PBE.

Final energy   -7.358 eV/atom
Symmetry   Cmcm, No. 63
Formation enthalpy at 0 K   -5.91 eV/f.u.

Unit cell a=5.962 b=5.962 c=11.183 alpha=90.00 beta=90.00 gamma=145.78
Fractional coordinates of all 18 atoms:
Zr1 0.133 0.867 0.750
Zr2 0.867 0.133 0.250
Co1 0.000 0.000 0.000
Co2 0.000 0.000 0.500
Co3 0.202 0.798 0.074
Co4 0.202 0.798 0.426
Co5 0.449 0.551 0.643
Co6 0.449 0.551 0.857
Co7 0.551 0.449 0.143
Co8 0.551 0.449 0.357
Co9 0.798 0.202 0.574
Co10 0.798 0.202 0.926
P1 0.117 0.883 0.250
P2 0.383 0.617 0.043
P3 0.383 0.617 0.457
P4 0.617 0.383 0.543
P5 0.617 0.383 0.957
P6 0.883 0.117 0.750

Here is a relaxed Zr2Co12P7 crystal from the Alexandria database. Energies are from PBE.

Final energy   -7.465 eV/atom
Symmetry   P-6, No. 174
Formation enthalpy at 0 K   -16.53 eV/f.u.

Unit cell a=8.909 b=8.909 c=3.553 alpha=90.00 beta=90.00 gamma=120.00
Fractional coordinates of all 21 atoms:
Zr1 0.000 0.000 0.000
Zr2 0.333 0.667 0.500
Co1 0.051 0.772 0.500
Co2 0.105 0.396 0.000
Co3 0.228 0.280 0.500
Co4 0.292 0.895 0.000
Co5 0.391 0.215 0.000
Co6 0.534 0.101 0.500
Co7 0.566 0.466 0.500
Co8 0.604 0.708 0.000
Co9 0.720 0.949 0.500
Co10 0.785 0.176 0.000
Co11 0.824 0.609 0.000
Co12 0.899 0.434 0.500
P1 0.076 0.626 0.000
P2 0.261 0.044 0.500
P3 0.374 0.450 0.000
P4 0.550 0.924 0.000
P5 0.667 0.333 0.000
P6 0.783 0.739 0.500
P7 0.956 0.217 0.500

Here is a relaxed ZrCo5P2 crystal from the Alexandria database. Energies are from PBE.

Final energy   -7.499 eV/atom
Symmetry   Immm, No. 71
Formation enthalpy at 0 K   -5.10 eV/f.u.

Unit cell a=5.631 b=5.631 c=5.631 alpha=143.60 beta=111.41 gamma=80.21
Fractional coordinates of all 8 atoms:
Zr1 0.000 0.000 0.000
Co1 0.160 0.354 0.806
Co2 0.453 0.646 0.806
Co3 0.500 0.000 0.500
Co4 0.547 0.354 0.194
Co5 0.840 0.646 0.194
P1 0.251 0.751 0.500
P2 0.749 0.249 0.500

Here is a relaxed Zr3Co6P5 crystal from the Alexandria database. Energies are from PBE.

Final energy   -7.780 eV/atom
Symmetry   Pmmn, No. 59
Formation enthalpy at 0 K   -13.59 eV/f.u.

Unit cell a=3.612 b=11.254 c=9.000 alpha=90.00 beta=90.00 gamma=90.00
Fractional coordinates of all 28 atoms:
Zr1 0.250 0.094 0.244
Zr2 0.250 0.406 0.244
Zr3 0.250 0.750 0.262
Zr4 0.750 0.250 0.738
Zr5 0.750 0.594 0.756
Zr6 0.750 0.906 0.756
Co1 0.250 0.057 0.599
Co2 0.250 0.250 0.480
Co3 0.250 0.250 0.981
Co4 0.250 0.443 0.599
Co5 0.250 0.582 0.009
Co6 0.250 0.918 0.009
Co7 0.750 0.082 0.991
Co8 0.750 0.418 0.991
Co9 0.750 0.557 0.401
Co10 0.750 0.750 0.019
Co11 0.750 0.750 0.520
Co12 0.750 0.943 0.401
P1 0.250 0.078 0.846
P2 0.250 0.422 0.846
P3 0.250 0.631 0.529
P4 0.250 0.750 0.871
P5 0.250 0.869 0.529
P6 0.750 0.131 0.471
P7 0.750 0.250 0.129
P8 0.750 0.369 0.471
P9 0.750 0.578 0.154
P10 0.750 0.922 0.154

Here is a relaxed Pa3Co2 crystal from the Alexandria database. Energies are from PBE.

Final energy   -8.730 eV/atom
Distance to the lowest polymorph of the same formula   0 meV per atom
Symmetry   C2/c, No. 15
Formation enthalpy at 0 K   -0.95 eV/f.u.

Unit cell a=6.575 b=6.575 c=6.669 alpha=112.98 beta=112.98 gamma=52.79
Fractional coordinates of all 10 atoms:
Pa1 0.104 0.896 0.750
Pa2 0.202 0.392 0.181
Pa3 0.392 0.202 0.681
Pa4 0.608 0.798 0.319
Pa5 0.798 0.608 0.819
Pa6 0.896 0.104 0.250
Co1 0.265 0.641 0.024
Co2 0.359 0.735 0.476
Co3 0.641 0.265 0.524
Co4 0.735 0.359 0.976

Here is a relaxed PaCo3 crystal from the Alexandria database. Energies are from PBE.

Final energy   -7.935 eV/atom
Symmetry   I4/mmm, No. 139
Formation enthalpy at 0 K   -0.93 eV/f.u.

Unit cell a=4.617 b=4.617 c=4.617 alpha=131.15 beta=131.15 gamma=71.57
Fractional coordinates of all 4 atoms:
Pa1 0.000 0.000 0.000
Co1 0.250 0.750 0.500
Co2 0.500 0.500 0.000
Co3 0.750 0.250 0.500

Here is a relaxed Pa4Co crystal from the Alexandria database. Energies are from PBE.

Final energy   -9.054 eV/atom
Distance to the lowest polymorph of the same formula   0 meV per atom
Symmetry   Cc, No. 9
Formation enthalpy at 0 K   -0.18 eV/f.u.

Unit cell a=6.731 b=6.731 c=6.730 alpha=104.58 beta=104.58 gamma=119.57
Fractional coordinates of all 10 atoms:
Pa1 0.006 0.994 0.500
Pa2 0.062 0.572 0.138
Pa3 0.508 0.576 0.581
Pa4 0.563 0.995 0.056
Pa5 0.572 0.062 0.638
Pa6 0.576 0.508 0.081
Pa7 0.994 0.006 0.000
Pa8 0.995 0.563 0.556
Co1 0.160 0.410 0.819
Co2 0.410 0.160 0.319

Here is a relaxed Pa3Co crystal from the Alexandria database. Energies are from PBE.

Final energy   -9.040 eV/atom
Distance to the lowest polymorph of the same formula   28 meV per atom
Symmetry   Imm2, No. 44
Formation enthalpy at 0 K   -0.57 eV/f.u.

Unit cell a=5.719 b=5.719 c=5.719 alpha=146.34 beta=68.76 gamma=122.00
Fractional coordinates of all 4 atoms:
Pa1 0.000 0.000 0.000
Pa2 0.254 0.459 0.795
Pa3 0.663 0.459 0.205
Co1 0.611 0.111 0.500

Here is a relaxed Pa3Co crystal from the Alexandria database. Energies are from PBE.

Final energy   -8.806 eV/atom
Distance to the lowest polymorph of the same formula   262 meV per atom
Symmetry   Pmm2, No. 25
Formation enthalpy at 0 K   0.37 eV/f.u.

Unit cell a=3.114 b=3.194 c=8.844 alpha=90.00 beta=90.00 gamma=90.00
Fractional coordinates of all 4 atoms:
Pa1 0.000 0.000 0.000
Pa2 0.000 0.500 0.305
Pa3 0.500 0.500 0.721
Co1 0.500 0.000 0.485

Here is a relaxed Pa5Co crystal from the Alexandria database. Energies are from PBE.

Final energy   -9.135 eV/atom
Distance to the lowest polymorph of the same formula   38 meV per atom
Symmetry   C2/m, No. 12
Formation enthalpy at 0 K   -0.22 eV/f.u.

Unit cell a=5.508 b=5.508 c=8.282 alpha=105.55 beta=105.55 gamma=34.33
Fractional coordinates of all 6 atoms:
Pa1 0.000 0.000 0.000
Pa2 0.313 0.313 0.193
Pa3 0.364 0.364 0.641
Pa4 0.636 0.636 0.359
Pa5 0.687 0.687 0.807
Co1 0.000 0.000 0.500

Here is a relaxed Pa2Co crystal from the Alexandria database. Energies are from PBE.

Final energy   -8.922 eV/atom
Symmetry   Pnma, No. 62
Formation enthalpy at 0 K   -0.67 eV/f.u.

Unit cell a=7.911 b=3.402 c=9.112 alpha=90.00 beta=90.00 gamma=90.00
Fractional coordinates of all 12 atoms:
Pa1 0.023 0.250 0.166
Pa2 0.159 0.250 0.554
Pa3 0.341 0.750 0.054
Pa4 0.477 0.750 0.666
Pa5 0.523 0.250 0.334
Pa6 0.659 0.250 0.946
Pa7 0.841 0.750 0.446
Pa8 0.977 0.750 0.834
Co1 0.250 0.250 0.855
Co2 0.250 0.750 0.355
Co3 0.750 0.250 0.645
Co4 0.750 0.750 0.145

Here is a relaxed Pa3Co5 crystal from the Alexandria database. Energies are from PBE.

Final energy   -8.348 eV/atom
Symmetry   Cmcm, No. 63
Formation enthalpy at 0 K   -2.77 eV/f.u.

Unit cell a=5.993 b=5.993 c=7.545 alpha=90.00 beta=90.00 gamma=73.37
Fractional coordinates of all 16 atoms:
Pa1 0.155 0.845 0.750
Pa2 0.299 0.299 0.000
Pa3 0.299 0.299 0.500
Pa4 0.701 0.701 0.000
Pa5 0.701 0.701 0.500
Pa6 0.845 0.155 0.250
Co1 0.038 0.548 0.250
Co2 0.163 0.837 0.071
Co3 0.163 0.837 0.429
Co4 0.452 0.962 0.250
Co5 0.455 0.545 0.250
Co6 0.545 0.455 0.750
Co7 0.548 0.038 0.750
Co8 0.837 0.163 0.571
Co9 0.837 0.163 0.929
Co10 0.962 0.452 0.750

Here is a relaxed Pa2Co crystal from the Alexandria database. Energies are from PBE.

Final energy   -8.770 eV/atom
Symmetry   C2/m, No. 12
Formation enthalpy at 0 K   -0.21 eV/f.u.

Unit cell a=3.445 b=3.445 c=5.791 alpha=107.24 beta=107.24 gamma=89.95
Fractional coordinates of all 3 atoms:
Pa1 0.137 0.137 0.275
Pa2 0.863 0.863 0.725
Co1 0.500 0.500 0.000